Entry from the Alexandria database: TbNp2Pd9 after structural relaxation (GGA-PBE).

The structure in POSCAR format:
```
TbNp2Pd9
1.0
4.1339 0.0000 0.0000
0.0000 4.1339 0.0000
0.0000 0.0000 12.4184
Tb Np Pd
1 2 9
Direct
0.0000 0.0000 0.0000
0.0000 0.0000 0.3322
0.0000 0.0000 0.6678
0.0000 0.5000 0.1682
0.0000 0.5000 0.5000
0.0000 0.5000 0.8318
0.5000 0.0000 0.1682
0.5000 0.0000 0.5000
0.5000 0.0000 0.8318
0.5000 0.5000 0.0000
0.5000 0.5000 0.3336
0.5000 0.5000 0.6664
```

Output
Energy of formation   -0.5990 eV per atom
Magnetic moment   6.503 μB/cell
D(E_F)   2.08 states/eV/atom
Space group   P4/mmm